# 1
# PmGa2Rh (PBE, optimized geometry)
data_PmGa2Rh
_chemical_formula_sum 'Pm1 Ga2 Rh1'
_space_group_name_H-M_alt 'P 1'
_space_group_IT_number 1
_cell_length_a 4.7083
_cell_length_b 4.7083
_cell_length_c 4.7083
_cell_angle_alpha 60.00
_cell_angle_beta 60.00
_cell_angle_gamma 60.00
loop_
_space_group_symop_operation_xyz
'x,y,z'
loop_
_atom_site_label
_atom_site_type_symbol
_atom_site_fract_x
_atom_site_fract_y
_atom_site_fract_z
_atom_site_occupancy
Rh1 Rh 0.5000 0.5000 0.5000 1
Ga1 Ga 0.2500 0.2500 0.2500 1
Ga2 Ga 0.7500 0.7500 0.7500 1
Pm1 Pm 0.0000 0.0000 0.0000 1
# - E (eV per atom) = -5.115
# - energy above the lowest structure with this stoichiometry (eV per formula unit) = 0.68
# - ΔE_f (meV per atom) = -576


# 2
# Pm5Ga4Rh (PBE, optimized geometry)
data_Pm5Ga4Rh
_chemical_formula_sum 'Pm5 Ga4 Rh1'
_space_group_name_H-M_alt 'P 1'
_space_group_IT_number 1
_cell_length_a 3.6545
_cell_length_b 3.6545
_cell_length_c 18.0525
_cell_angle_alpha 90.00
_cell_angle_beta 90.00
_cell_angle_gamma 90.00
loop_
_space_group_symop_operation_xyz
'x,y,z'
loop_
_atom_site_label
_atom_site_type_symbol
_atom_site_fract_x
_atom_site_fract_y
_atom_site_fract_z
_atom_site_occupancy
Pm1 Pm 0.5000 0.5000 0.0917 1
Pm2 Pm 0.5000 0.5000 0.7041 1
Pm3 Pm 0.5000 0.5000 0.2959 1
Pm4 Pm 0.5000 0.5000 0.9083 1
Pm5 Pm 0.5000 0.5000 0.5000 1
Ga1 Ga 0.0000 0.0000 0.1957 1
Ga2 Ga 0.0000 0.0000 0.8043 1
Ga3 Ga 0.0000 0.0000 0.3987 1
Ga4 Ga 0.0000 0.0000 0.6013 1
Rh1 Rh 0.0000 0.0000 0.0000 1
# - E (eV per atom) = -4.912
# - ΔE_f (meV per atom) = -591


# 3
# Pm6Ga2Rh (PBE, optimized geometry)
data_Pm6Ga2Rh
_chemical_formula_sum 'Pm6 Ga2 Rh1'
_space_group_name_H-M_alt 'P 1'
_space_group_IT_number 1
_cell_length_a 3.8678
_cell_length_b 8.5804
_cell_length_c 8.5804
_cell_angle_alpha 120.00
_cell_angle_beta 90.00
_cell_angle_gamma 90.00
loop_
_space_group_symop_operation_xyz
'x,y,z'
loop_
_atom_site_label
_atom_site_type_symbol
_atom_site_fract_x
_atom_site_fract_y
_atom_site_fract_z
_atom_site_occupancy
Pm1 Pm 0.5000 0.5965 0.0000 1
Pm2 Pm 0.5000 0.0000 0.5965 1
Pm3 Pm 0.0000 0.0000 0.2501 1
Pm4 Pm 0.0000 0.7499 0.7499 1
Pm5 Pm 0.5000 0.4035 0.4035 1
Pm6 Pm 0.0000 0.2501 0.0000 1
Rh1 Rh 0.5000 0.0000 0.0000 1
Ga1 Ga 0.0000 0.3333 0.6666 1
Ga2 Ga 0.0000 0.6666 0.3333 1
# - E (eV per atom) = -5.084
# - energy above the lowest structure with this stoichiometry (eV per formula unit) = 0.00
# - ΔE_f (meV per atom) = -427


# 4
# Pm6Ga2Rh (PBE, optimized geometry)
data_Pm6Ga2Rh
_chemical_formula_sum 'Pm6 Ga2 Rh1'
_space_group_name_H-M_alt 'P 1'
_space_group_IT_number 1
_cell_length_a 4.9968
_cell_length_b 7.2038
_cell_length_c 8.6938
_cell_angle_alpha 114.48
_cell_angle_beta 106.70
_cell_angle_gamma 90.00
loop_
_space_group_symop_operation_xyz
'x,y,z'
loop_
_atom_site_label
_atom_site_type_symbol
_atom_site_fract_x
_atom_site_fract_y
_atom_site_fract_z
_atom_site_occupancy
Pm1 Pm 0.1611 0.4056 0.3225 1
Pm2 Pm 0.5000 0.2417 0.0000 1
Pm3 Pm 0.8389 0.0830 0.6775 1
Pm4 Pm 0.5000 0.7583 0.0000 1
Pm5 Pm 0.8389 0.5944 0.6775 1
Pm6 Pm 0.1611 0.9170 0.3225 1
Ga1 Ga 0.3337 0.3333 0.6667 1
Ga2 Ga 0.6663 0.6667 0.3333 1
Rh1 Rh 0.0000 0.0000 0.0000 1
# - E (eV per atom) = -4.965
# - energy above the lowest structure with this stoichiometry (eV per formula unit) = 1.07
# - ΔE_f (meV per atom) = -308


# 5
# PmGa6Rh (PBE, optimized geometry)
data_PmGa6Rh
_chemical_formula_sum 'Pm1 Ga6 Rh1'
_space_group_name_H-M_alt 'P 1'
_space_group_IT_number 1
_cell_length_a 4.2602
_cell_length_b 4.2602
_cell_length_c 8.2874
_cell_angle_alpha 90.00
_cell_angle_beta 90.00
_cell_angle_gamma 90.00
loop_
_space_group_symop_operation_xyz
'x,y,z'
loop_
_atom_site_label
_atom_site_type_symbol
_atom_site_fract_x
_atom_site_fract_y
_atom_site_fract_z
_atom_site_occupancy
Ga1 Ga 0.5000 0.5000 0.1454 1
Ga2 Ga 0.0000 0.5000 0.3297 1
Ga3 Ga 0.5000 0.0000 0.3297 1
Ga4 Ga 0.5000 0.5000 0.8546 1
Ga5 Ga 0.5000 0.0000 0.6703 1
Ga6 Ga 0.0000 0.5000 0.6703 1
Rh1 Rh 0.0000 0.0000 0.5000 1
Pm1 Pm 0.0000 0.0000 0.0000 1
# - E (eV per atom) = -4.269
# - ΔE_f (meV per atom) = -486


# 6
# PmGa12Rh4 (PBE, optimized geometry)
data_PmGa12Rh4
_chemical_formula_sum 'Pm1 Ga12 Rh4'
_space_group_name_H-M_alt 'P 1'
_space_group_IT_number 1
_cell_length_a 7.5962
_cell_length_b 7.5962
_cell_length_c 7.5962
_cell_angle_alpha 109.47
_cell_angle_beta 109.47
_cell_angle_gamma 109.47
loop_
_space_group_symop_operation_xyz
'x,y,z'
loop_
_atom_site_label
_atom_site_type_symbol
_atom_site_fract_x
_atom_site_fract_y
_atom_site_fract_z
_atom_site_occupancy
Rh1 Rh 0.0000 0.5000 0.0000 1
Rh2 Rh 0.5000 0.0000 0.0000 1
Rh3 Rh 0.0000 0.0000 0.5000 1
Rh4 Rh 0.5000 0.5000 0.5000 1
Ga1 Ga 0.4996 0.1587 0.3409 1
Ga2 Ga 0.1587 0.6591 0.8178 1
Ga3 Ga 0.6591 0.8178 0.1587 1
Ga4 Ga 0.5004 0.8413 0.6591 1
Ga5 Ga 0.8413 0.3409 0.1822 1
Ga6 Ga 0.1587 0.3409 0.4996 1
Ga7 Ga 0.1822 0.8413 0.3409 1
Ga8 Ga 0.8178 0.1587 0.6591 1
Ga9 Ga 0.8413 0.6591 0.5004 1
Ga10 Ga 0.6591 0.5004 0.8413 1
Ga11 Ga 0.3409 0.4996 0.1587 1
Ga12 Ga 0.3409 0.1822 0.8413 1
Pm1 Pm 0.0000 0.0000 0.0000 1
# - E (eV per atom) = -4.393
# - ΔE_f (meV per atom) = -247


# 7
# PmGa3Rh2 (PBE, optimized geometry)
data_PmGa3Rh2
_chemical_formula_sum 'Pm2 Ga6 Rh4'
_space_group_name_H-M_alt 'P 1'
_space_group_IT_number 1
_cell_length_a 5.7088
_cell_length_b 6.1980
_cell_length_c 6.1980
_cell_angle_alpha 100.08
_cell_angle_beta 90.00
_cell_angle_gamma 90.00
loop_
_space_group_symop_operation_xyz
'x,y,z'
loop_
_atom_site_label
_atom_site_type_symbol
_atom_site_fract_x
_atom_site_fract_y
_atom_site_fract_z
_atom_site_occupancy
Rh1 Rh 0.0000 0.7818 0.2182 1
Rh2 Rh 0.5000 0.2182 0.7818 1
Rh3 Rh 0.5000 0.7818 0.2182 1
Rh4 Rh 0.0000 0.2182 0.7818 1
Ga1 Ga 0.7500 0.4497 0.1120 1
Ga2 Ga 0.7500 0.0251 0.0251 1
Ga3 Ga 0.2500 0.9749 0.9749 1
Ga4 Ga 0.7500 0.1120 0.4497 1
Ga5 Ga 0.2500 0.8880 0.5503 1
Ga6 Ga 0.2500 0.5503 0.8880 1
Pm1 Pm 0.7500 0.6453 0.6453 1
Pm2 Pm 0.2500 0.3547 0.3547 1
# - E (eV per atom) = -5.504
# - ΔE_f (meV per atom) = -748


# 8
# Pm3GaRh3 (PBE, optimized geometry)
data_Pm3GaRh3
_chemical_formula_sum 'Pm6 Ga2 Rh6'
_space_group_name_H-M_alt 'P 1'
_space_group_IT_number 1
_cell_length_a 5.6703
_cell_length_b 8.5099
_cell_length_c 8.5099
_cell_angle_alpha 120.00
_cell_angle_beta 90.00
_cell_angle_gamma 90.00
loop_
_space_group_symop_operation_xyz
'x,y,z'
loop_
_atom_site_label
_atom_site_type_symbol
_atom_site_fract_x
_atom_site_fract_y
_atom_site_fract_z
_atom_site_occupancy
Rh1 Rh 0.2500 0.6981 0.6383 1
Rh2 Rh 0.2500 0.3617 0.0598 1
Rh3 Rh 0.7500 0.3019 0.3617 1
Rh4 Rh 0.2500 0.9402 0.3019 1
Rh5 Rh 0.7500 0.6383 0.9402 1
Rh6 Rh 0.7500 0.0598 0.6981 1
Pm1 Pm 0.2500 0.3129 0.3702 1
Pm2 Pm 0.2500 0.0573 0.6871 1
Pm3 Pm 0.7500 0.9427 0.3129 1
Pm4 Pm 0.7500 0.3702 0.0573 1
Pm5 Pm 0.7500 0.6871 0.6298 1
Pm6 Pm 0.2500 0.6298 0.9427 1
Ga1 Ga 0.7500 0.3333 0.6667 1
Ga2 Ga 0.2500 0.6667 0.3333 1
# - E (eV per atom) = -6.116
# - energy above the lowest structure with this stoichiometry (eV per formula unit) = 1.98
# - ΔE_f (meV per atom) = -497


# 9
# Pm3Ga6Rh5 (PBE, optimized geometry)
data_Pm3Ga6Rh5
_chemical_formula_sum 'Pm6 Ga12 Rh10'
_space_group_name_H-M_alt 'P 1'
_space_group_IT_number 1
_cell_length_a 4.2667
_cell_length_b 9.4026
_cell_length_c 12.7748
_cell_angle_alpha 90.00
_cell_angle_beta 90.00
_cell_angle_gamma 90.00
loop_
_space_group_symop_operation_xyz
'x,y,z'
loop_
_atom_site_label
_atom_site_type_symbol
_atom_site_fract_x
_atom_site_fract_y
_atom_site_fract_z
_atom_site_occupancy
Pm1 Pm 0.5000 0.7422 0.5000 1
Pm2 Pm 0.5000 0.7477 0.8068 1
Pm3 Pm 0.0000 0.2523 0.6932 1
Pm4 Pm 0.0000 0.2523 0.3068 1
Pm5 Pm 0.0000 0.2578 0.0000 1
Pm6 Pm 0.5000 0.7477 0.1932 1
Rh1 Rh 0.5000 0.1288 0.1602 1
Rh2 Rh 0.5000 0.1288 0.8398 1
Rh3 Rh 0.0000 0.5336 0.1133 1
Rh4 Rh 0.5000 0.4664 0.6133 1
Rh5 Rh 0.0000 0.5336 0.8867 1
Rh6 Rh 0.0000 0.8712 0.3398 1
Rh7 Rh 0.5000 0.4664 0.3867 1
Rh8 Rh 0.0000 0.7929 0.0000 1
Rh9 Rh 0.0000 0.8712 0.6602 1
Rh10 Rh 0.5000 0.2071 0.5000 1
Ga1 Ga 0.5000 0.0195 0.3486 1
Ga2 Ga 0.0000 0.9805 0.1514 1
Ga3 Ga 0.0000 0.0358 0.5000 1
Ga4 Ga 0.5000 0.9642 0.0000 1
Ga5 Ga 0.0000 0.5942 0.3201 1
Ga6 Ga 0.0000 0.9805 0.8486 1
Ga7 Ga 0.0000 0.4341 0.5000 1
Ga8 Ga 0.5000 0.5659 0.0000 1
Ga9 Ga 0.5000 0.0195 0.6514 1
Ga10 Ga 0.0000 0.5942 0.6799 1
Ga11 Ga 0.5000 0.4058 0.1799 1
Ga12 Ga 0.5000 0.4058 0.8201 1
# - E (eV per atom) = -5.708
# - ΔE_f (meV per atom) = -767